(1)
DFT (PBE) results for Dy2U2Se2S5 after structural relaxation.

Output
Fermi-level density of states: 1.221 states/eV/atom
Formation energy without anion corrections: -1.413 eV per atom
Magnetization: 3.64 μB/f.u.
Final energy: -6.81 eV per atom

a b c (Å): 12.3946 12.3946 12.3946
angles (deg): 155.50 155.50 34.93
Closest atoms and distances in Å follow each position.
Sites, in units of the cell vectors:
Dy (0.1618, 0.1618, 0.0000)  1 Se 2.72, 4 S 2.83
Dy (0.8382, 0.8382, 0.0000)  1 Se 2.72, 4 S 2.83
U (0.3910, 0.3910, 0.0000)  5 S 2.58-2.64, 1 Se 2.70
U (0.6090, 0.6090, 0.0000)  5 S 2.58-2.64, 1 Se 2.70
Se (0.2767, 0.2767, 0.0000)  1 U 2.70, 1 Dy 2.72
Se (0.7233, 0.7233, 0.0000)  1 U 2.70, 1 Dy 2.72
S (0.1174, 0.6174, 0.5000)  2 U 2.64, 2 Dy 2.83
S (0.3826, 0.8826, 0.5000)  2 U 2.64, 2 Dy 2.83
S (0.5000, 0.5000, 0.0000)  2 U 2.58
S (0.6174, 0.1174, 0.5000)  2 U 2.64, 2 Dy 2.83
S (0.8826, 0.3826, 0.5000)  2 U 2.64, 2 Dy 2.83



(2)
DFT (PBE) results for Dy2Y2Se3S2 after structural relaxation.

Output
Fermi-level density of states: 0.617 states/eV/atom
Formation energy without anion corrections: -1.595 eV per atom
Magnetization: 0.00 μB/f.u.
Final energy: -6.13 eV per atom

a b c (Å): 8.0442 8.0442 8.0442
angles (deg): 139.52 139.52 58.59
Closest atoms and distances in Å follow each position.
Sites, in units of the cell vectors:
Dy (0.2132, 0.2132, 0.0000)  1 S 2.64, 4 Se 2.83
Dy (0.7868, 0.7868, 0.0000)  1 S 2.64, 4 Se 2.83
Y (0.0000, 0.5000, 0.5000)  2 Se 2.78, 4 S 3.11
Y (0.5000, 0.0000, 0.5000)  2 Se 2.78, 4 S 3.11
Se (0.0000, 0.0000, 0.0000)  4 Y 2.78, 2 Dy 2.99
Se (0.2500, 0.7500, 0.5000)  4 Dy 2.83
Se (0.7500, 0.2500, 0.5000)  4 Dy 2.83
S (0.4010, 0.4010, 0.0000)  1 Dy 2.64, 1 S 2.78
S (0.5990, 0.5990, 0.0000)  1 Dy 2.64, 1 S 2.78



(3)
DFT (PBE) results for Dy4ZnSeS2 after structural relaxation.

Output
Fermi-level density of states: 0.353 states/eV/atom
Formation energy without anion corrections: -1.497 eV per atom
Magnetization: 0.00 μB/f.u.
Final energy: -5.42 eV per atom

a b c (Å): 6.9909 3.9194 6.9932
angles (deg): 90.00 108.43 90.00
Closest atoms and distances in Å follow each position.
Sites, in units of the cell vectors:
Dy (0.2410, 0.0000, 0.2383)  3 S 2.77-2.82, 1 Zn 2.85, 2 Se 2.89
Dy (0.2519, 0.5000, 0.7584)  3 S 2.80, 2 Zn 2.86, 1 Se 2.87
Dy (0.7481, 0.5000, 0.2416)  3 S 2.80, 2 Zn 2.86, 1 Se 2.87
Dy (0.7590, 0.0000, 0.7617)  3 S 2.77-2.82, 1 Zn 2.85, 2 Se 2.89
Zn (0.0000, 0.0000, 0.5000)  6 Dy 2.85-2.86
Se (0.5000, 0.5000, 0.5000)  6 Dy 2.87-2.89
S (0.0000, 0.5000, 0.0000)  6 Dy 2.77-2.80
S (0.5000, 0.0000, 0.0000)  6 Dy 2.80-2.82



(4)
DFT (PBE) results for Dy3SiS2 after structural relaxation.

Output
Fermi-level density of states: 0.503 states/eV/atom
Formation energy without anion corrections: -0.830 eV per atom
Magnetization: 0.00 μB/f.u.
Final energy: -5.41 eV per atom

a b c (Å): 7.5910 7.5910 6.4090
angles (deg): 90.00 90.00 89.59
Closest atoms and distances in Å follow each position.
Sites, in units of the cell vectors:
Dy (0.1035, 0.8965, 0.7500)  4 S 2.65
Dy (0.2587, 0.4314, 0.7500)  2 S 2.66, 1 Si 2.83
Dy (0.4314, 0.2587, 0.2500)  2 S 2.66, 1 Si 2.83
Dy (0.5686, 0.7413, 0.7500)  2 S 2.66, 1 Si 2.83
Dy (0.7413, 0.5686, 0.2500)  2 S 2.66, 1 Si 2.83
Dy (0.8965, 0.1035, 0.2500)  4 S 2.65
Si (0.3729, 0.6271, 0.2500)  2 Dy 2.83
Si (0.6271, 0.3729, 0.7500)  2 Dy 2.83
S (0.1673, 0.1673, 0.0000)  4 Dy 2.65-2.66
S (0.1673, 0.1673, 0.5000)  4 Dy 2.65-2.66
S (0.8327, 0.8327, 0.0000)  4 Dy 2.65-2.66
S (0.8327, 0.8327, 0.5000)  4 Dy 2.65-2.66